No. 1
# CeSm2Os

A relaxed structure of CeSm2Os (PBE, Alexandria).

Cell and atoms, written as POSCAR:
```
CeSm2Os
1.0
1.693 0.978 10.950
-1.693 0.978 10.950
0.000 -1.955 10.950
Ce Sm Os
1 2 1
direct
0.000 0.000 0.000
0.102 0.102 0.102
0.898 0.898 0.898
0.500 0.500 0.500
```

Results
ΔH_f (0 K)   371 meV per atom
ΔE to the lowest computed polymorph   544 meV/atom
Density   9.64 Mg/m³
Calculated total energy   -6.280 eV per atom
Space group   R-3m
Volume   27.2 A^3/atom

***

No. 2
# Ce3SmOs

A relaxed structure of Ce3SmOs (PBE, Alexandria).

Cell and atoms, written as POSCAR:
```
Ce3SmOs
1.0
3.388 0.000 0.000
1.663 6.040 0.000
0.111 0.127 12.094
Ce Sm Os
6 2 2
direct
0.051 0.408 0.321
0.141 0.218 0.039
0.298 0.784 0.499
0.702 0.216 0.501
0.859 0.782 0.961
0.949 0.592 0.679
0.234 0.071 0.759
0.766 0.929 0.241
0.469 0.561 0.131
0.531 0.439 0.869
```

Results
ΔH_f (0 K)   -33 meV per atom
ΔE to the lowest computed polymorph   9 meV/atom
Density   10.21 Mg/m³
Calculated total energy   -6.783 eV per atom
Space group   P-1
Volume   24.7 A^3/atom

***

No. 3
# Ce4SmOs4

A relaxed structure of Ce4SmOs4 (PBE, Alexandria).

Cell and atoms, written as POSCAR:
```
Ce4SmOs4
1.0
6.986 0.000 0.000
0.000 6.986 0.000
0.000 0.000 9.009
Ce Sm Os
8 2 8
direct
0.003 0.250 0.110
0.250 0.003 0.610
0.250 0.497 0.610
0.497 0.250 0.110
0.503 0.750 0.890
0.750 0.503 0.390
0.750 0.997 0.390
0.997 0.750 0.890
0.250 0.750 0.250
0.750 0.250 0.750
0.056 0.250 0.413
0.250 0.056 0.913
0.250 0.444 0.913
0.444 0.250 0.413
0.556 0.750 0.587
0.750 0.556 0.087
0.750 0.944 0.087
0.944 0.750 0.587
```

Results
ΔH_f (0 K)   47 meV per atom
Density   11.12 Mg/m³
Calculated total energy   -8.105 eV per atom
Space group   P4_2/nmc
Volume   24.4 A^3/atom

***

No. 4
# CeSm3Os8

A relaxed structure of CeSm3Os8 (PBE, Alexandria).

Cell and atoms, written as POSCAR:
```
CeSm3Os8
1.0
2.704 1.561 8.846
-2.704 1.561 8.846
0.000 -3.123 8.846
Ce Sm Os
1 3 8
direct
0.000 0.000 0.000
0.375 0.375 0.375
0.500 0.500 0.500
0.875 0.875 0.875
0.187 0.187 0.187
0.437 0.437 0.937
0.437 0.937 0.437
0.438 0.937 0.937
0.687 0.687 0.687
0.937 0.437 0.437
0.937 0.438 0.937
0.937 0.937 0.438
```

Results
ΔH_f (0 K)   -175 meV per atom
Density   15.66 Mg/m³
Calculated total energy   -9.336 eV per atom
Space group   R3m
Volume   18.7 A^3/atom

***

No. 5
# CeSmTcOs

A relaxed structure of CeSmTcOs (PBE, Alexandria).

Cell and atoms, written as POSCAR:
```
CeSmTcOs
1.0
0.000 3.467 3.467
3.467 0.000 3.467
3.467 3.467 0.000
Ce Sm Tc Os
1 1 1 1
direct
0.000 0.000 0.000
0.500 0.500 0.500
0.250 0.250 0.250
0.750 0.750 0.750
```

Results
ΔH_f (0 K)   56 meV per atom
Density   11.53 Mg/m³
Calculated total energy   -8.007 eV per atom
Space group   F-43m
Volume   20.8 A^3/atom

***

No. 6
# Ce2SmTlOs

A relaxed structure of Ce2SmTlOs (PBE, Alexandria).

Cell and atoms, written as POSCAR:
```
Ce2SmTlOs
1.0
5.270 0.000 0.000
0.000 5.270 0.000
0.000 0.000 5.716
Ce Sm Tl Os
2 1 1 1
direct
0.000 0.500 0.000
0.500 0.000 0.000
0.000 0.000 0.500
0.500 0.500 0.500
0.000 0.000 0.000
```

Results
ΔH_f (0 K)   -102 meV per atom
Density   8.63 Mg/m³
Calculated total energy   -6.139 eV per atom
Space group   P4/mmm
Volume   31.7 A^3/atom

***

No. 7
# Ce11Sn9Os4

A relaxed structure of Ce11Sn9Os4 (PBE, Alexandria).

Cell and atoms, written as POSCAR:
```
Ce11Sn9Os4
1.0
7.080 -10.484 0.000
7.080 10.484 0.000
0.000 0.000 4.062
Ce Sn Os
11 9 4
direct
0.000 0.000 0.000
0.076 0.417 0.000
0.160 0.840 0.000
0.311 0.311 0.000
0.373 0.627 0.000
0.417 0.076 0.000
0.583 0.924 0.000
0.627 0.373 0.000
0.689 0.689 0.000
0.840 0.160 0.000
0.924 0.583 0.000
0.073 0.220 0.500
0.156 0.630 0.500
0.220 0.073 0.500
0.370 0.844 0.500
0.500 0.500 0.500
0.630 0.156 0.500
0.780 0.927 0.500
0.844 0.370 0.500
0.927 0.780 0.500
0.241 0.447 0.500
0.447 0.241 0.500
0.553 0.759 0.500
0.759 0.553 0.500
```

Results
ΔH_f (0 K)   -522 meV per atom
Density   9.28 Mg/m³
Calculated total energy   -6.615 eV per atom
Space group   Cmmm
Volume   25.1 A^3/atom

***

No. 8
# Ce2SnOs

A relaxed structure of Ce2SnOs (PBE, Alexandria).

Cell and atoms, written as POSCAR:
```
Ce2SnOs
1.0
4.526 0.000 0.000
0.000 4.526 0.000
0.000 0.000 4.381
Ce Sn Os
2 1 1
direct
0.000 0.500 0.000
0.500 0.000 0.000
0.000 0.000 0.500
0.500 0.500 0.500
```

Results
ΔH_f (0 K)   -265 meV per atom
ΔE to the lowest computed polymorph   146 meV/atom
Density   10.90 Mg/m³
Calculated total energy   -7.040 eV per atom
Space group   P4/mmm
Volume   22.4 A^3/atom

***

No. 9
# Ce2SnOs

A relaxed structure of Ce2SnOs (PBE, Alexandria).

Cell and atoms, written as POSCAR:
```
Ce2SnOs
1.0
2.381 1.375 5.047
-2.381 1.375 5.047
0.000 -2.750 5.047
Ce Sn Os
2 1 1
direct
0.236 0.236 0.236
0.764 0.764 0.764
0.000 0.000 0.000
0.500 0.500 0.500
```

Results
ΔH_f (0 K)   -173 meV per atom
ΔE to the lowest computed polymorph   237 meV/atom
Density   9.87 Mg/m³
Calculated total energy   -6.948 eV per atom
Space group   R-3m
Volume   24.8 A^3/atom

***

No. 10
# Ce4Sn8Os

A relaxed structure of Ce4Sn8Os (PBE, Alexandria).

Cell and atoms, written as POSCAR:
```
Ce4Sn8Os
1.0
4.487 0.000 0.000
0.000 4.546 0.000
0.000 0.000 16.978
Ce Sn Os
4 8 1
direct
0.000 0.000 0.000
0.000 0.500 0.484
0.500 0.000 0.779
0.500 0.500 0.292
0.000 0.000 0.324
0.000 0.000 0.619
0.000 0.500 0.146
0.000 0.500 0.854
0.500 0.000 0.148
0.500 0.000 0.449
0.500 0.500 0.618
0.500 0.500 0.970
0.000 0.500 0.701
```

Results
ΔH_f (0 K)   -458 meV per atom
Density   8.15 Mg/m³
Calculated total energy   -5.611 eV per atom
Space group   Pmm2
Volume   26.6 A^3/atom

***

No. 11
# Ce7SnOs2

A relaxed structure of Ce7SnOs2 (PBE, Alexandria).

Cell and atoms, written as POSCAR:
```
Ce7SnOs2
1.0
4.660 -6.432 0.000
4.660 6.432 0.000
0.000 0.000 5.181
Ce Sn Os
7 1 2
direct
0.000 0.000 0.000
0.202 0.423 0.000
0.226 0.774 0.500
0.423 0.202 0.000
0.577 0.798 0.000
0.774 0.226 0.500
0.798 0.577 0.000
0.500 0.500 0.500
0.202 0.798 0.000
0.798 0.202 0.000
```

Results
ΔH_f (0 K)   -59 meV per atom
Density   7.91 Mg/m³
Calculated total energy   -6.859 eV per atom
Space group   Cmmm
Volume   31.1 A^3/atom

***

No. 12
# Ce3SnOs2

A relaxed structure of Ce3SnOs2 (PBE, Alexandria).

Cell and atoms, written as POSCAR:
```
Ce3SnOs2
1.0
7.654 -2.321 0.000
7.654 2.321 0.000
-2.877 0.000 8.179
Ce Sn Os
6 2 4
direct
0.072 0.072 0.205
0.244 0.244 0.720
0.396 0.396 0.133
0.604 0.604 0.867
0.756 0.756 0.280
0.928 0.928 0.795
0.399 0.399 0.521
0.601 0.601 0.479
0.058 0.058 0.650
0.189 0.189 0.044
0.811 0.811 0.956
0.942 0.942 0.350
```

Results
ΔH_f (0 K)   -219 meV per atom
Density   10.51 Mg/m³
Calculated total energy   -7.597 eV per atom
Space group   C2/m
Volume   24.2 A^3/atom